Record 1
A relaxed structure of YbAu4, computed with PBE.

Structure (extended XYZ):
```
5
Lattice="-0.893 -4.141 0.564 3.772 -2.685 2.400 -2.413 -1.070 4.497" Properties=species:S:1:pos:R:3 pbc="T T T"
Yb 0.000 0.000 0.000
Au -1.217 -3.666 3.530
Au 1.684 -4.229 3.931
Au -0.367 -5.782 5.478
Au 0.834 -2.113 1.984
```

Values from the calculation:
As for the spin magnetization: 0.00 μB per cell.

Record 2
A relaxed structure of ZnAu5, computed with PBE.

Structure (extended XYZ):
```
6
Lattice="0.000 3.880 3.880 3.880 0.000 3.880 3.880 3.880 0.000" Properties=species:S:1:pos:R:3 pbc="T T T"
Zn 0.000 0.000 0.000
Au 2.909 4.850 4.850
Au 5.820 5.820 5.820
Au 4.850 2.909 4.850
Au 2.909 2.909 2.909
Au 4.850 4.850 2.909
```

Values from the calculation:
As for the spin magnetization: 0.00 μB per cell.

Record 3
A relaxed structure of ZnAu, computed with PBE.

Structure (extended XYZ):
```
12
Lattice="-1.031 2.771 2.408 -9.650 -4.633 1.201 1.976 -3.001 4.299" Properties=species:S:1:pos:R:3 pbc="T T T"
Zn -4.790 -4.241 5.847
Zn -2.315 -3.052 5.539
Zn -0.954 -0.423 3.098
Zn -8.127 -3.868 3.990
Zn 1.372 -2.084 2.984
Zn -4.441 -2.899 1.435
Au -0.993 -3.115 3.159
Au -6.017 -5.527 3.784
Au -6.806 -3.931 1.610
Au -2.180 -1.710 1.035
Au 0.313 -0.476 0.682
Au -3.523 -4.293 3.432
```

Values from the calculation:
As for the spin magnetization: 0.00 μB per cell.

Ordered total DFT energy (no corrections) results: -3.481 -2.816 -2.338; unit eV/atom.